Tb3Sm4Er3 | GGA-PBE | relaxed

## Properties
- energy of formation (meV per atom) = 94
- volume (Å³/atom) = 32.58
- raw total energy (eV for the cell shown) = -45.5

Cell lengths 3.7764, 9.2888, 9.2888 Å; angles 90.10, 90.00, 90.00 degrees
Closest atoms and distances in Å follow each position.
Atoms (fractional coordinates):
Tb 0.0000 0.0000 0.0000  6 Sm 3.25-3.38
Tb 0.5000 0.1701 0.6675  4 Sm 3.63-3.66, 4 Tb 3.78-3.95, 6 Er 3.92-3.94
Tb 0.5000 0.6675 0.1701  4 Sm 3.63-3.66, 4 Tb 3.78-3.95, 6 Er 3.92-3.94
Sm 0.5000 0.0397 0.2994  4 Er 3.25-3.38, 3 Tb 3.38-3.63, 1 Sm 3.41
Sm 0.5000 0.2994 0.0397  4 Er 3.25-3.38, 3 Tb 3.38-3.63, 1 Sm 3.41
Sm 0.5000 0.5398 0.5398  6 Er 3.25-3.37, 1 Sm 3.39, 2 Tb 3.63
Sm 0.5000 0.7983 0.7983  2 Tb 3.25, 4 Er 3.38, 1 Sm 3.39
Er 0.0000 0.3384 0.3384  6 Sm 3.25-3.38
Er 0.0000 0.4998 0.8381  6 Sm 3.25-3.38
Er 0.0000 0.8381 0.4998  6 Sm 3.25-3.38